No. 1
The following is a DFT calculation (PBEsol) of a relaxed structure of Mg3Ag.

POSCAR file:
```
Mg3Ag
1.0
4.276 0.000 0.000
0.000 4.276 0.000
0.000 0.000 4.276
Mg Ag
3 1
Cartesian
0.000 0.000 2.138
0.000 2.138 0.000
2.138 0.000 0.000
2.138 2.138 2.138
```

- Energy relative to the elements: -0.0982 eV per atom
- Total energy: -2.214 eV/atom
- D(E_F): 1.61 states/eV per cell


No. 2
The following is a DFT calculation (PBEsol) of a relaxed structure of Mg3Ag.

POSCAR file:
```
Mg3Ag
1.0
3.172 0.000 0.000
0.000 4.837 0.000
0.000 0.000 5.135
Mg Ag
3 1
Cartesian
0.000 0.000 0.000
0.000 2.418 1.860
1.586 2.418 4.354
1.586 0.000 2.596
```

- Energy relative to the elements: -0.0880 eV per atom
- Total energy: -2.204 eV/atom
- D(E_F): 1.36 states/eV per cell


No. 3
The following is a DFT calculation (PBEsol) of a relaxed structure of Mg4Ag.

POSCAR file:
```
Mg4Ag
1.0
3.139 0.000 0.000
-1.569 2.718 0.000
0.000 0.000 36.528
Mg Ag
12 3
Cartesian
0.000 0.000 3.886
0.000 0.000 10.887
0.000 0.000 25.640
0.000 0.000 32.642
0.000 1.812 13.464
0.000 1.812 20.466
0.000 1.812 28.238
0.000 1.812 35.239
1.569 0.906 1.289
1.569 0.906 8.290
1.569 0.906 16.062
1.569 0.906 23.063
0.000 0.000 18.264
0.000 1.812 6.088
1.569 0.906 30.440
```

- Energy relative to the elements: -0.0288 eV per atom
- Energy above the lowest structure with this stoichiometry: 58.7 meV/atom
- Total energy: -2.065 eV/atom
- D(E_F): 6.49 states/eV per cell